Entry 1:
# SCAN BaAlO3, PBEsol geometry
# Theoretical density ... 5.907 Mg/m³
# Density of states at the Fermi level ... 0.4543 states/eV per atom
# Formation energy from raw total energies ... -2.76 eV per atom
# Calculated total energy ... -15.957 eV per atom
data_BaAlO3
_chemical_formula_sum 'Ba1 Al1 O3'
_cell_length_a 3.9080
_cell_length_b 3.9080
_cell_length_c 3.9080
_cell_angle_alpha 90.00
_cell_angle_beta 90.00
_cell_angle_gamma 90.00
_symmetry_space_group_name_H-M 'P 1'
_symmetry_Int_Tables_number 1
_symmetry_space_group_name_Hall 'P 1'
loop_
_atom_site_label
_atom_site_fract_x
_atom_site_fract_y
_atom_site_fract_z
_atom_site_occupancy
Al1 0.5000 0.5000 0.5000 1
O1 0.5000 0.0000 0.5000 1
O2 0.5000 0.5000 0.0000 1
O3 0.0000 0.5000 0.5000 1
Ba1 0.0000 0.0000 0.0000 1

***

Entry 2:
# SCAN MgIn2Bi, PBEsol geometry
# Formation energy ... 73.0 meV per atom
# Theoretical density ... 7.174 Mg/m³
# Density of states at the Fermi level ... 0.4216 states/eV per atom
# Calculated total energy ... -37.509 eV per atom
data_MgIn2Bi
_chemical_formula_sum 'Mg1 In2 Bi1'
_cell_length_a 5.3313
_cell_length_b 5.3313
_cell_length_c 5.3313
_cell_angle_alpha 60.00
_cell_angle_beta 60.00
_cell_angle_gamma 60.00
_symmetry_space_group_name_H-M 'P 1'
_symmetry_Int_Tables_number 1
_symmetry_space_group_name_Hall 'P 1'
loop_
_atom_site_label
_atom_site_fract_x
_atom_site_fract_y
_atom_site_fract_z
_atom_site_occupancy
Bi1 0.5000 0.5000 0.5000 1
In1 0.7500 0.7500 0.7500 1
In2 0.2500 0.2500 0.2500 1
Mg1 0.0000 0.0000 0.0000 1

***

Entry 3:
# SCAN CrSb, PBEsol geometry
# Theoretical density ... 7.466 Mg/m³
# Density of states at the Fermi level ... 0.4057 states/eV per atom
# Formation energy from raw total energies ... -0.12 eV per atom
# Calculated total energy ... -27.942 eV per atom
data_CrSb
_chemical_formula_sum 'Cr2 Sb2'
_cell_length_a 3.9441
_cell_length_b 3.9441
_cell_length_c 5.7374
_cell_angle_alpha 90.00
_cell_angle_beta 90.00
_cell_angle_gamma 120.00
_symmetry_space_group_name_H-M 'P 1'
_symmetry_Int_Tables_number 1
_symmetry_space_group_name_Hall 'P 1'
loop_
_atom_site_label
_atom_site_fract_x
_atom_site_fract_y
_atom_site_fract_z
_atom_site_occupancy
Cr1 0.0000 0.0000 0.5000 1
Cr2 0.0000 0.0000 0.0000 1
Sb1 0.3333 0.6667 0.2500 1
Sb2 0.6667 0.3333 0.7500 1

***

Entry 4:
# SCAN TiMn2GeF, PBEsol geometry
# Theoretical density ... 4.406 Mg/m³
# Density of states at the Fermi level ... 0.6847 states/eV per atom
# Formation energy from raw total energies ... 0.63 eV per atom
# Calculated total energy ... -14.407 eV per atom
data_TiMn2GeF
_chemical_formula_sum 'Ti1 Mn2 Ge1 F1'
_cell_length_a 4.9288
_cell_length_b 4.3669
_cell_length_c 4.3669
_cell_angle_alpha 90.00
_cell_angle_beta 90.00
_cell_angle_gamma 90.00
_symmetry_space_group_name_H-M 'P 1'
_symmetry_Int_Tables_number 1
_symmetry_space_group_name_Hall 'P 1'
loop_
_atom_site_label
_atom_site_fract_x
_atom_site_fract_y
_atom_site_fract_z
_atom_site_occupancy
Mn1 0.0000 0.0000 0.5000 1
Mn2 0.0000 0.5000 0.0000 1
Ti1 0.0000 0.0000 0.0000 1
F1 0.5000 0.5000 0.5000 1
Ge1 0.5000 0.0000 0.0000 1

***

Entry 5:
# SCAN TiSiH2, PBEsol geometry
# Theoretical density ... 3.552 Mg/m³
# Density of states at the Fermi level ... 0.0336 states/eV per atom
# Calculated total energy ... -8.278 eV per atom
data_TiSiH2
_chemical_formula_sum 'Ti2 Si2 H4'
_cell_length_a 3.5843
_cell_length_b 3.5843
_cell_length_c 6.2141
_cell_angle_alpha 106.76
_cell_angle_beta 106.76
_cell_angle_gamma 90.00
_symmetry_space_group_name_H-M 'P 1'
_symmetry_Int_Tables_number 1
_symmetry_space_group_name_Hall 'P 1'
loop_
_atom_site_label
_atom_site_fract_x
_atom_site_fract_y
_atom_site_fract_z
_atom_site_occupancy
Ti1 0.2500 0.7500 0.5000 1
Ti2 0.0000 0.0000 0.0000 1
H1 0.3408 0.8750 0.2500 1
H2 0.9092 0.3750 0.2500 1
H3 0.1250 0.0908 0.7500 1
H4 0.6250 0.6592 0.7500 1
Si1 0.5000 0.5000 0.0000 1
Si2 0.7500 0.2500 0.5000 1

***

Entry 6:
# SCAN ReF6, PBEsol geometry
# Theoretical density ... 4.790 Mg/m³
# Density of states at the Fermi level ... 0.0247 states/eV per atom
# Formation energy from raw total energies ... -2.15 eV per atom
# Calculated total energy ... -15.341 eV per atom
data_ReF6
_chemical_formula_sum 'Re4 F24'
_cell_length_a 5.0310
_cell_length_b 8.6931
_cell_length_c 9.5182
_cell_angle_alpha 90.00
_cell_angle_beta 90.00
_cell_angle_gamma 90.00
_symmetry_space_group_name_H-M 'P 1'
_symmetry_Int_Tables_number 1
_symmetry_space_group_name_Hall 'P 1'
loop_
_atom_site_label
_atom_site_fract_x
_atom_site_fract_y
_atom_site_fract_z
_atom_site_occupancy
F1 0.7334 0.9004 0.9826 1
F2 0.3799 0.2500 0.7434 1
F3 0.1201 0.2500 0.2434 1
F4 0.7818 0.2500 0.5155 1
F5 0.7334 0.5996 0.9826 1
F6 0.0710 0.5992 0.2591 1
F7 0.4290 0.9008 0.7591 1
F8 0.2666 0.4004 0.0174 1
F9 0.6201 0.7500 0.2566 1
F10 0.2334 0.0996 0.5174 1
F11 0.8799 0.7500 0.7566 1
F12 0.5710 0.0992 0.2409 1
F13 0.4290 0.5992 0.7591 1
F14 0.7666 0.5996 0.4826 1
F15 0.2818 0.7500 0.9845 1
F16 0.2182 0.7500 0.4845 1
F17 0.5710 0.4008 0.2409 1
F18 0.7666 0.9004 0.4826 1
F19 0.9290 0.0992 0.7409 1
F20 0.2666 0.0996 0.0174 1
F21 0.7182 0.2500 0.0155 1
F22 0.0710 0.9008 0.2591 1
F23 0.2334 0.4004 0.5174 1
F24 0.9290 0.4008 0.7409 1
Re1 0.0808 0.2500 0.6293 1
Re2 0.4192 0.2500 0.1293 1
Re3 0.9192 0.7500 0.3707 1
Re4 0.5808 0.7500 0.8707 1

***

> Among the records above, which one has the lowest density of states at the Fermi level?

ReF6

***

> Which of these has the lowest theoretical density?

TiSiH2

***

> Among the records above, which one has the lowest density of states at the Fermi level?

ReF6

***

> Which value of theoretical density does entry 2 give?

7.174 Mg/m³